Entry 1:
Density functional theory data (GGA-PBE) for crystalline Ce2ThSc at its relaxed geometry.

```
Ce2ThSc
1.0
5.4783 0.0000 0.0000
2.7392 4.7444 0.0000
2.7392 1.5815 4.4730
Sc Ce Th
1 2 1
direct
0.5000 0.5000 0.5000
0.7500 0.7500 0.7500
0.2500 0.2500 0.2500
0.0000 0.0000 0.0000
```

- space group = No. 225
- total moment (μB per formula unit) = 2.0
- final energy (eV per atom) = -6.136
- calculated formation energy (meV per atom) = 269

Entry 2:
Density functional theory data (GGA-PBE) for crystalline CeTh2Sc2 at its relaxed geometry.

```
CeTh2Sc2
1.0
5.1996 0.1139 2.3762
3.0368 7.5195 0.4623
-0.0934 -2.3217 7.7833
Th Sc Ce
4 4 2
direct
0.8461 0.8644 0.4384
0.1539 0.1356 0.5616
0.3461 0.4384 0.8644
0.6539 0.5616 0.1356
0.6873 0.2773 0.3950
0.3127 0.7227 0.6050
0.8127 0.6050 0.7227
0.1873 0.3950 0.2773
0.2500 0.0434 0.9566
0.7500 0.9566 0.0434
```

- space group = No. 15
- total moment (μB per formula unit) = 0.5
- final energy (eV per atom) = -6.457
- calculated formation energy (meV per atom) = 231

Entry 3:
Density functional theory data (GGA-PBE) for crystalline CeTh2Sc at its relaxed geometry.

```
CeTh2Sc
1.0
-3.2130 -0.5017 1.3780
-0.3972 -2.8970 -1.9808
3.7323 -5.1735 6.8182
Ce Sc Th
1 1 2
direct
0.5000 0.5000 0.5000
0.5000 0.5000 0.0000
0.0000 0.0000 0.7552
0.0000 0.0000 0.2448
```

- space group = No. 123
- total moment (μB per formula unit) = 0.0
- final energy (eV per atom) = -6.752
- calculated formation energy (meV per atom) = 24

Entry 4:
Density functional theory data (GGA-PBE) for crystalline Ce2ThSc at its relaxed geometry.

```
Ce2ThSc
1.0
3.4060 0.0000 0.0000
1.7030 2.9497 0.0000
1.7030 0.9832 11.2490
Sc Ce Th
1 2 1
direct
0.6670 0.6670 0.9991
0.2521 0.2521 0.2438
0.0809 0.0809 0.7572
0.5000 0.5000 0.5000
```

- space group = No. 160
- total moment (μB per formula unit) = 0.1
- final energy (eV per atom) = -6.308
- calculated formation energy (meV per atom) = 97

Entry 5:
Density functional theory data (GGA-PBE) for crystalline CeTh2Sc at its relaxed geometry.

```
CeTh2Sc
1.0
-0.3047 0.4692 3.3306
2.4041 -1.1214 2.0902
6.4368 10.2986 0.8502
Ce Sc Th
1 1 2
direct
0.0000 0.0000 0.0000
0.5000 0.5000 0.5000
0.9120 0.9120 0.2639
0.0880 0.0880 0.7361
```

- space group = No. 166
- total moment (μB per formula unit) = 0.4
- final energy (eV per atom) = -6.583
- calculated formation energy (meV per atom) = 194

Entry 6:
Density functional theory data (GGA-PBE) for crystalline CeTh2Sc3 at its relaxed geometry.

```
CeTh2Sc3
1.0
7.0827 -0.8199 0.8127
-0.8117 7.0837 0.8127
0.8209 0.8199 7.0818
Sc Th Ce
6 4 2
direct
0.1576 0.6578 0.8424
0.3422 0.8424 0.1576
0.8424 0.3422 0.1576
0.1576 0.1576 0.3422
0.6578 0.1576 0.8424
0.8424 0.8424 0.6578
0.5000 0.0000 0.5000
0.0000 0.0000 0.0000
0.5000 0.5000 0.0000
0.0000 0.5000 0.5000
0.6486 0.6486 0.3514
0.3514 0.3514 0.6486
```

- space group = No. 166
- total moment (μB per formula unit) = 0.0
- final energy (eV per atom) = -6.215
- calculated formation energy (meV per atom) = 413

Entry 7:
Density functional theory data (GGA-PBE) for crystalline CeTmTh2Sc2 at its relaxed geometry.

```
CeTmTh2Sc2
1.0
-0.5407 -4.9569 -4.5289
6.0061 0.8348 -1.6308
1.3622 -5.6157 5.9837
Ce Sc Tm Th
2 4 2 4
direct
0.7500 0.6922 0.1681
0.2500 0.3078 0.8319
0.7500 0.0115 0.5023
0.2500 0.4895 0.5006
0.7500 0.5105 0.4994
0.2500 0.9885 0.4977
0.2500 0.6775 0.1560
0.7500 0.3225 0.8440
0.4993 0.1854 0.1760
0.0007 0.1854 0.1760
0.5007 0.8146 0.8240
0.9993 0.8146 0.8240
```

- space group = No. 11
- total moment (μB per formula unit) = 0.0
- final energy (eV per atom) = -6.145
- calculated formation energy (meV per atom) = 173

Entry 8:
Density functional theory data (GGA-PBE) for crystalline CeYThSc at its relaxed geometry.

```
CeYThSc
1.0
5.5323 0.0000 0.0000
2.7661 4.7911 0.0000
2.7661 1.5970 4.5171
Sc Y Ce Th
1 1 1 1
direct
0.5000 0.5000 0.5000
0.7500 0.7500 0.7500
0.0000 0.0000 0.0000
0.2500 0.2500 0.2500
```

- space group = No. 216
- total moment (μB per formula unit) = 1.6
- final energy (eV per atom) = -6.340
- calculated formation energy (meV per atom) = 197

Entry 9:
Density functional theory data (GGA-PBE) for crystalline CeSc2Ti at its relaxed geometry.

```
CeSc2Ti
1.0
-0.4364 -1.2256 -2.8433
2.7549 -1.4644 0.2084
-4.3203 -7.5690 3.9257
Sc Ce Ti
2 1 1
direct
0.0000 0.0000 0.2176
0.0000 0.0000 0.7824
0.5000 0.5000 0.5000
0.5000 0.5000 0.0000
```

- space group = No. 123
- total moment (μB per formula unit) = 0.5
- final energy (eV per atom) = -6.511
- calculated formation energy (meV per atom) = 111

Entry 10:
Density functional theory data (GGA-PBE) for crystalline CeScTi at its relaxed geometry.

```
CeScTi
1.0
-2.5732 -0.6474 -1.7101
-2.5999 -0.6582 4.1614
0.2521 4.4865 -2.0778
Ti Sc Ce
1 1 1
direct
0.1667 0.3333 0.6667
0.6667 0.6667 0.3333
0.1666 0.0000 0.0000
```

- space group = No. 187
- total moment (μB per formula unit) = 0.0
- final energy (eV per atom) = -6.599
- calculated formation energy (meV per atom) = 121

Entry 11:
Density functional theory data (GGA-PBE) for crystalline CeSc2Ti at its relaxed geometry.

```
CeSc2Ti
1.0
-4.4602 1.1001 -2.2018
-4.0183 -3.0462 0.7247
-3.9199 1.5869 2.8403
Sc Ti Ce
2 1 1
direct
0.7500 0.7500 0.7500
0.2500 0.2500 0.2500
0.5000 0.5000 0.5000
0.0000 0.0000 0.0000
```

- space group = No. 225
- total moment (μB per formula unit) = 0.0
- final energy (eV per atom) = -6.426
- calculated formation energy (meV per atom) = 197

Entry 12:
Density functional theory data (GGA-PBE) for crystalline CeSc2Ti at its relaxed geometry.

```
CeSc2Ti
1.0
-4.4416 -1.5297 -0.1683
0.0884 -0.7380 4.3760
-1.4505 4.1317 0.7261
Ce Sc Ti
1 2 1
direct
0.5000 0.5000 0.5000
0.0000 0.0000 0.5000
0.0000 0.5000 0.0000
0.5000 0.0000 0.0000
```

- space group = No. 123
- total moment (μB per formula unit) = 0.0
- final energy (eV per atom) = -6.500
- calculated formation energy (meV per atom) = 123

Entry 13:
Density functional theory data (GGA-PBE) for crystalline CeScTi at its relaxed geometry.

```
CeScTi
1.0
3.0633 0.0000 0.0000
-1.5317 5.3468 0.3190
0.0000 -1.9144 8.4454
Ce Ti Sc
2 2 2
direct
0.1192 0.2384 0.0898
0.8808 0.7616 0.9102
0.6590 0.3180 0.4099
0.3410 0.6820 0.5901
0.9101 0.8201 0.3148
0.0899 0.1799 0.6852
```

- space group = No. 12
- total moment (μB per formula unit) = 0.0
- final energy (eV per atom) = -6.549
- calculated formation energy (meV per atom) = 171

Entry 14:
Density functional theory data (GGA-PBE) for crystalline CeSc2Ti at its relaxed geometry.

```
CeSc2Ti
1.0
-0.7388 2.4273 1.8428
-0.8555 -0.4942 2.9762
10.0394 1.4530 4.7790
Ce Ti Sc
1 1 2
direct
0.5000 0.5000 0.5000
0.0000 0.0000 0.0000
0.0830 0.0830 0.7510
0.9170 0.9170 0.2490
```

- space group = No. 166
- total moment (μB per formula unit) = 1.6
- final energy (eV per atom) = -6.303
- calculated formation energy (meV per atom) = 320

Entry 15:
Density functional theory data (GGA-PBE) for crystalline CeScTiTl at its relaxed geometry.

```
CeScTiTl
1.0
5.1856 0.0000 0.0000
2.5928 4.4909 0.0000
2.5928 1.4970 4.2340
Ti Sc Ce Tl
1 1 1 1
direct
0.2500 0.2500 0.2500
0.5000 0.5000 0.5000
0.0000 0.0000 0.0000
0.7500 0.7500 0.7500
```

- space group = No. 216
- total moment (μB per formula unit) = 3.3
- final energy (eV per atom) = -5.580
- calculated formation energy (meV per atom) = 52

Entry 16:
Density functional theory data (GGA-PBE) for crystalline CeScTiZn at its relaxed geometry.

```
CeScTiZn
1.0
4.9332 0.0000 0.0000
2.4666 4.2723 0.0000
2.4666 1.4241 4.0280
Sc Ce Zn Ti
1 1 1 1
direct
0.7500 0.7500 0.7500
0.2500 0.2500 0.2500
0.5000 0.5000 0.5000
0.0000 0.0000 0.0000
```

- space group = No. 216
- total moment (μB per formula unit) = 1.0
- final energy (eV per atom) = -5.338
- calculated formation energy (meV per atom) = 21

Entry 17:
Density functional theory data (GGA-PBE) for crystalline CeZrScTi at its relaxed geometry.

```
CeZrScTi
1.0
-2.3864 -4.4394 -0.4372
0.4854 -3.5001 3.6206
-3.9142 -1.0759 3.0193
Sc Zr Ti Ce
1 1 1 1
direct
0.7500 0.7500 0.7500
0.5000 0.5000 0.5000
0.2500 0.2500 0.2500
0.0000 0.0000 0.0000
```

- space group = No. 216
- total moment (μB per formula unit) = 0.8
- final energy (eV per atom) = -7.020
- calculated formation energy (meV per atom) = 157

Entry 18:
Density functional theory data (GGA-PBE) for crystalline CeSc4Tl at its relaxed geometry.

```
CeSc4Tl
1.0
3.3241 0.0000 0.0000
0.0000 3.3241 0.0000
0.0000 0.0000 13.6101
Tl Sc Ce
1 4 1
direct
0.5000 0.5000 0.5000
0.5000 0.5000 0.8211
0.5000 0.5000 0.1789
0.0000 0.0000 0.6551
0.0000 0.0000 0.3449
0.0000 0.0000 0.0000
```

- space group = No. 123
- total moment (μB per formula unit) = 0.3
- final energy (eV per atom) = -5.655
- calculated formation energy (meV per atom) = -51

Entry 19:
Density functional theory data (GGA-PBE) for crystalline CeScTl3 at its relaxed geometry.

```
CeScTl3
1.0
-2.9650 4.5573 3.3268
-6.1580 -1.5173 -3.4098
1.6534 -3.3986 6.1291
Ce Tl Sc
2 6 2
direct
0.7500 0.6665 0.3335
0.2500 0.3335 0.6665
0.7500 0.1944 0.3886
0.2500 0.8056 0.6114
0.2500 0.8056 0.1944
0.2500 0.3886 0.1944
0.7500 0.6114 0.8056
0.7500 0.1944 0.8056
0.0000 0.0000 0.0000
0.5000 0.0000 0.0000
```

- space group = No. 194
- total moment (μB per formula unit) = 1.3
- final energy (eV per atom) = -3.989
- calculated formation energy (meV per atom) = -116

Entry 20:
Density functional theory data (GGA-PBE) for crystalline CeSc7Tl4 at its relaxed geometry.

```
CeSc7Tl4
1.0
-4.0542 3.0512 1.5600
-7.4288 -5.6333 0.7437
-0.7907 0.0073 6.9629
Sc Tl Ce
7 4 1
direct
0.9453 0.3800 0.7294
0.7813 0.8824 0.5550
0.3384 0.5860 0.7372
0.5000 0.0000 0.0000
0.6616 0.4140 0.2628
0.0547 0.6200 0.2706
0.2187 0.1176 0.4450
0.6974 0.6759 0.9294
0.3026 0.3241 0.0706
0.4174 0.7892 0.3760
0.5826 0.2108 0.6240
0.0000 0.0000 0.0000
```

- space group = No. 12
- total moment (μB per formula unit) = 2.1
- final energy (eV per atom) = -4.947
- calculated formation energy (meV per atom) = 30

Entry 21:
Density functional theory data (GGA-PBE) for crystalline Ce4ScTl3 at its relaxed geometry.

```
Ce4ScTl3
1.0
-0.7264 -4.2223 -1.2259
-0.4276 -1.2738 4.6406
-9.3794 3.2294 2.5340
Ce Tl Sc
4 3 1
direct
0.8659 0.1344 0.7318
0.7297 0.7701 0.4593
0.1341 0.8656 0.2682
0.2703 0.2299 0.5407
0.0000 0.5000 0.0000
0.6189 0.3808 0.2379
0.3811 0.6192 0.7621
0.5000 0.0000 0.0000
```

- space group = No. 71
- total moment (μB per formula unit) = 1.1
- final energy (eV per atom) = -4.787
- calculated formation energy (meV per atom) = -141

Entry 22:
Density functional theory data (GGA-PBE) for crystalline CeSc5Tl4 at its relaxed geometry.

```
CeSc5Tl4
1.0
3.3563 0.0000 0.0000
0.0000 3.3563 0.0000
0.0000 0.0000 21.3003
Ce Sc Tl
1 5 4
direct
0.0000 0.0000 0.0000
0.5000 0.5000 0.8913
0.5000 0.5000 0.6964
0.5000 0.5000 0.1087
0.5000 0.5000 0.3036
0.5000 0.5000 0.5000
0.0000 0.0000 0.5983
0.0000 0.0000 0.4017
0.0000 0.0000 0.7947
0.0000 0.0000 0.2053
```

- space group = No. 123
- total moment (μB per formula unit) = 0.5
- final energy (eV per atom) = -4.915
- calculated formation energy (meV per atom) = -210

Entry 23:
Density functional theory data (GGA-PBE) for crystalline Ce4ScTl at its relaxed geometry.

```
Ce4ScTl
1.0
5.1566 0.0032 1.8972
2.7392 5.4599 0.5035
0.7579 -1.4768 5.9002
Ce Tl Sc
4 1 1
direct
0.7280 0.9269 0.6171
0.2719 0.3829 0.0731
0.7280 0.6171 0.9269
0.2719 0.0731 0.3829
0.5000 0.5000 0.5000
0.0000 0.0000 0.0000
```

- space group = No. 71
- total moment (μB per formula unit) = 0.6
- final energy (eV per atom) = -5.484
- calculated formation energy (meV per atom) = -78

Entry 24:
Density functional theory data (GGA-PBE) for crystalline Ce3ScTl4 at its relaxed geometry.

```
Ce3ScTl4
1.0
-0.3976 3.2931 1.0141
0.3612 -0.9754 3.3089
17.8470 2.5256 -1.2037
Ce Tl Sc
3 4 1
direct
0.5000 0.5000 0.7608
0.5000 0.5000 0.5000
0.5000 0.5000 0.2392
0.0000 0.0000 0.8893
0.0000 0.0000 0.1107
0.0000 0.0000 0.6304
0.0000 0.0000 0.3696
0.5000 0.5000 0.0000
```

- space group = No. 123
- total moment (μB per formula unit) = 4.0
- final energy (eV per atom) = -4.449
- calculated formation energy (meV per atom) = -249

Entry 25:
Density functional theory data (GGA-PBE) for crystalline CeSc12Tl3 at its relaxed geometry.

```
CeSc12Tl3
1.0
4.5530 0.0000 0.0000
0.0000 4.5530 0.0000
0.0000 0.0000 18.4422
Tl Sc Ce
3 12 1
direct
0.0000 0.0000 0.5000
0.0000 0.0000 0.2551
0.0000 0.0000 0.7449
0.5000 0.0000 0.3770
0.0000 0.5000 0.8703
0.5000 0.0000 0.1297
0.5000 0.5000 0.7439
0.5000 0.0000 0.8703
0.0000 0.5000 0.1297
0.5000 0.5000 0.2561
0.0000 0.5000 0.3770
0.0000 0.5000 0.6230
0.5000 0.0000 0.6230
0.5000 0.5000 0.5000
0.5000 0.5000 0.0000
0.0000 0.0000 0.0000
```

- space group = No. 123
- total moment (μB per formula unit) = 5.9
- final energy (eV per atom) = -5.677
- calculated formation energy (meV per atom) = -114

Entry 26:
Density functional theory data (GGA-PBE) for crystalline Ce2ScTl2 at its relaxed geometry.

```
Ce2ScTl2
1.0
-0.5447 -2.1299 2.5082
-0.5995 -3.6283 -3.2113
8.3642 0.1684 1.9595
Ce Tl Sc
2 2 1
direct
0.5000 0.4991 0.9982
0.5000 0.3132 0.6264
0.0000 0.9177 0.8355
0.0000 0.6894 0.3788
0.5000 0.1227 0.2453
```

- space group = No. 38
- total moment (μB per formula unit) = 2.9
- final energy (eV per atom) = -4.680
- calculated formation energy (meV per atom) = -93